Entry 1:
Density functional theory data (PBE-GGA) for a geometry-optimized KZn structure.

Cell and atoms, written as POSCAR:
```
KZn
1.0
-0.3490 -4.5931 1.2547
4.6268 0.2708 2.2783
-0.3311 1.7499 6.3141
K Zn
2 2
direct
0.0000 0.0266 0.0723
0.5000 0.7234 0.6777
0.0000 0.3371 0.4516
0.5000 0.4129 0.2984
```


Entry 2:
Density functional theory data (PBE-GGA) for a geometry-optimized KZn2 structure.

Cell and atoms, written as POSCAR:
```
KZn2
1.0
-5.6089 6.3731 0.5952
-2.5511 6.1716 -5.2758
1.7013 -8.2564 1.1695
K Zn
2 4
direct
0.0000 0.0000 0.0000
0.7500 0.2500 0.5000
0.5843 0.5843 0.0000
0.1657 0.6657 0.5000
0.4157 0.4157 0.0000
0.3343 0.8343 0.5000
```


Entry 3:
Density functional theory data (PBE-GGA) for a geometry-optimized K5Zn structure.

Cell and atoms, written as POSCAR:
```
K5Zn
1.0
4.1239 -7.1427 0.0000
4.1239 7.1427 0.0000
0.0000 0.0000 7.8116
K Zn
5 1
direct
0.3333 0.6667 0.0000
0.6667 0.3333 0.0000
0.5000 0.0000 0.5000
0.0000 0.5000 0.5000
0.5000 0.5000 0.5000
0.0000 0.0000 0.0000
```

Properties
Energy above the most stable polymorph in this dataset (meV/atom): 184.6


Per-record total magnetic moment, μB/cell: 0.00; 0.00; 0.00
Per-record energy of formation, meV per atom: 75.8; 96.5; 255.2